## GdYHgOs (GGA-PBE)

Data for an optimized crystal structure of GdYHgOs.

a = 5.046 Å, b = 5.046 Å, c = 5.046 Å
α = 60.00°, β = 60.00°, γ = 60.00°
Element x y z (fractional)
1 Gd 0.000 0.000 0.000
2 Y 0.500 0.500 0.500
3 Hg 0.250 0.250 0.250
4 Os 0.750 0.750 0.750

Values from the calculation:
The value obtained for the total energy is -8.255 eV/atom. The value obtained for the magnetic moment is 7.108 μB per cell. The energy relative to the elements comes out at -0.236 eV per atom.